1:
An optimized crystal structure of Sm2Dy4Ho5, computed with PBE.

## Properties
**DOS(E_F)**: 16.4 states/eV/f.u.
**Magnetization**: 0.0001 μB per atom

Cell lengths 3.487, 9.010, 23.114 Å; angles 90.00, 90.00, 90.00 degrees
Space group Immm (No. 71)
Asymmetric unit:
Sm 0.000 0.000 0.232 (multiplicity 4)
Dy 0.000 0.000 0.097 (multiplicity 4)
Dy 0.000 0.308 0.500 (multiplicity 4)
Ho 0.000 0.196 0.357 (multiplicity 8)
Ho 0.000 0.500 0.000 (multiplicity 2)

***

2:
An optimized crystal structure of Sm2Dy4Ho5, computed with PBE.

## Properties
**DOS(E_F)**: 18.0 states/eV/f.u.
**Magnetization**: 0.0000 μB per atom

Cell lengths 3.522, 8.757, 11.641 Å; angles 84.88, 89.98, 78.41 degrees
Space group P-1 (No. 2)
Asymmetric unit:
Sm 0.137 0.228 0.313 (multiplicity 2)
Dy 0.231 0.037 0.854 (multiplicity 2)
Dy 0.322 0.856 0.427 (multiplicity 2)
Ho 0.000 0.500 0.500 (multiplicity 1)
Ho 0.093 0.316 0.042 (multiplicity 2)
Ho 0.460 0.579 0.218 (multiplicity 2)

***

Which structure loses on stability? 1 does.

***

1:
An optimized crystal structure of Sm7Dy2Ho2, computed with PBE.

## Properties
**DOS(E_F)**: 13.2 states/eV/f.u.
**Magnetization**: 0.0000 μB per atom

Cell lengths 10.760, 8.732, 8.191 Å; angles 90.00, 104.83, 90.00 degrees
Space group C2/m (No. 12)
Asymmetric unit:
Sm 0.000 0.000 0.000 (multiplicity 2)
Sm 0.221 0.303 0.180 (multiplicity 8)
Sm 0.235 0.500 0.551 (multiplicity 4)
Dy 0.000 0.210 0.500 (multiplicity 4)
Ho 0.051 0.500 0.813 (multiplicity 4)

***

2:
An optimized crystal structure of Sm7Dy2Ho2, computed with PBE.

## Properties
**DOS(E_F)**: 15.5 states/eV/f.u.
**Magnetization**: 0.0000 μB per atom

Cell lengths 8.542, 10.889, 8.172 Å; angles 90.00, 103.49, 90.00 degrees
Space group C2/m (No. 12)
Asymmetric unit:
Sm 0.000 0.000 0.000 (multiplicity 2)
Sm 0.197 0.286 0.172 (multiplicity 8)
Sm 0.198 0.000 0.485 (multiplicity 4)
Dy 0.087 0.500 0.823 (multiplicity 4)
Ho 0.000 0.289 0.500 (multiplicity 4)

***

Which structure loses on stability? 1 does.

***

1:
An optimized crystal structure of Sm2Dy5Ho2, computed with PBE.

## Properties
**DOS(E_F)**: 13.8 states/eV/f.u.
**Magnetization**: 0.0000 μB per atom

Cell lengths 14.861, 11.764, 6.710 Å; angles 90.00, 90.00, 90.00 degrees
Space group Ima2 (No. 46)
Asymmetric unit:
Sm 0.000 0.000 0.000 (multiplicity 4)
Sm 0.250 0.010 0.910 (multiplicity 4)
Dy 0.052 0.747 0.310 (multiplicity 8)
Dy 0.143 0.236 0.124 (multiplicity 8)
Dy 0.250 0.747 0.116 (multiplicity 4)
Ho 0.127 0.502 0.959 (multiplicity 8)

***

2:
An optimized crystal structure of Sm2Dy5Ho2, computed with PBE.

## Properties
**DOS(E_F)**: 12.6 states/eV/f.u.
**Magnetization**: 0.0000 μB per atom

Cell lengths 21.555, 3.492, 8.186 Å; angles 90.00, 99.65, 90.00 degrees
Space group C2/m (No. 12)
Asymmetric unit:
Sm 0.181 0.000 0.148 (multiplicity 4)
Dy 0.000 0.000 0.000 (multiplicity 2)
Dy 0.096 0.000 0.736 (multiplicity 4)
Dy 0.190 0.500 0.530 (multiplicity 4)
Ho 0.047 0.500 0.355 (multiplicity 4)

***

Which structure loses on stability? 2 does.